Mn2Tl3Cl2F5 | GGA+U | optimized geometry

Unit cell a=4.3991 b=4.3991 c=12.8074 alpha=99.89 beta=99.89 gamma=90.00
Closest atoms and distances in Å follow each position.
Atoms (fractional coordinates):
1 Mn 0.4145 0.4145 0.8290  5 F 2.12-2.20
2 Mn 0.5855 0.5855 0.1710  5 F 2.12-2.20
3 Tl 0.1729 0.1729 0.3459  4 F 3.11, 5 Cl 3.14-3.41
4 Tl 0.8271 0.8271 0.6541  4 F 3.11, 5 Cl 3.14-3.41
5 Tl 0.0000 0.0000 0.0000  12 F 3.04-3.11
6 Cl 0.6900 0.6900 0.3800  1 Mn 2.60
7 Cl 0.3100 0.3100 0.6200  1 Mn 2.60
8 F 0.5847 0.0847 0.1694  2 Mn 2.20
9 F 0.4153 0.9153 0.8306  2 Mn 2.20
10 F 0.0847 0.5847 0.1694  2 Mn 2.20
11 F 0.9153 0.4153 0.8306  2 Mn 2.20
12 F 0.5000 0.5000 0.0000  2 Mn 2.12

Computed properties:
**Magnetization**: 10.00 μB per formula unit
**V**: 240.4 Å³ per cell
**Total DFT energy (no corrections)**: -4.887 eV per atom
**Crystal system**: tetragonal